GeSbI2N | PBE | relaxed

The calculation puts the total energy at -3.392 eV/atom. The calculation puts the uncorrected formation energy at 641 meV/atom. The space group is P4/mmm. The energy relative to the lowest polymorph listed for this composition comes out at 0.0 meV per atom. The calculation puts the calculated volume at 130 Å³ per cell.

a = 6.0276 Å, b = 6.0276 Å, c = 3.5852 Å
α = 90.00°, β = 90.00°, γ = 90.00°
Last column: nearest neighbours and their distance in Å.
Positions (direct):
Ge  0.0000  0.0000  0.0000  2 N 1.79
Sb  0.5000  0.5000  0.5000  8 I 3.51, 2 Sb 3.59
I  0.0000  0.5000  0.0000  2 Ge 3.01
I  0.5000  0.0000  0.0000  2 Ge 3.01
N  0.0000  0.0000  0.5000  2 Ge 1.79